No. 1
Below is a crystal of SrTl2Sb relaxed with PBEsol, with properties calculated at the meta-GGA SCAN level.

```
data_SrTl2Sb
_chemical_formula_sum 'Sr1 Tl2 Sb1'
_symmetry_space_group_name_H-M 'P 4/m m m'
_symmetry_Int_Tables_number 123
_symmetry_space_group_name_Hall '-P 4 2'
_cell_length_a 4.763
_cell_length_b 4.763
_cell_length_c 5.151
_cell_angle_alpha 90.00
_cell_angle_beta 90.00
_cell_angle_gamma 90.00
loop_
_atom_site_label
_atom_site_type_symbol
_atom_site_fract_x
_atom_site_fract_y
_atom_site_fract_z
Sr1 Sr 0.000 0.000 0.000
Tl1 Tl 0.000 0.500 0.500
Sb1 Sb 0.500 0.500 0.000
```

The density of states at the Fermi level is 0.29 states/eV/atom. For the electronic total energy, the calculation gives -51.569 eV per atom. The calculation puts the energy relative to the lowest polymorph listed for this composition at 0.0 meV/atom.

=====

No. 2
Below is a crystal of Cr11NiS16 relaxed with PBEsol, with properties calculated at the meta-GGA SCAN level.

```
data_Cr11NiS16
_chemical_formula_sum 'Cr22 Ni2 S32'
_symmetry_space_group_name_H-M 'C 1 2/m 1'
_symmetry_Int_Tables_number 12
_cell_length_a 11.829
_cell_length_b 3.250
_cell_length_c 20.537
_cell_angle_alpha 90.00
_cell_angle_beta 95.55
_cell_angle_gamma 90.00
loop_
_symmetry_equiv_pos_as_xyz
'x,y,z'
'-x,-y,-z'
'-x,y,-z'
'x,-y,z'
'x+1/2,y+1/2,z'
'-x+1/2,-y+1/2,-z'
'-x+1/2,y+1/2,-z'
'x+1/2,-y+1/2,z'
loop_
_atom_site_label
_atom_site_type_symbol
_atom_site_fract_x
_atom_site_fract_y
_atom_site_fract_z
Cr1 Cr 0.000 0.000 0.000
Cr2 Cr 0.069 0.500 0.829
Cr3 Cr 0.070 0.000 0.330
Cr4 Cr 0.179 0.000 0.921
Cr5 Cr 0.183 0.500 0.424
Cr6 Cr 0.249 0.000 0.250
Ni1 Ni 0.000 0.500 0.500
S1 S 0.003 0.500 0.611
S2 S 0.005 0.000 0.113
S3 S 0.104 0.000 0.745
S4 S 0.105 0.500 0.245
S5 S 0.144 0.000 0.504
S6 S 0.146 0.500 0.005
S7 S 0.244 0.500 0.637
S8 S 0.247 0.000 0.137
```

The density of states at the Fermi level is 0.30 states/eV/atom. For the electronic total energy, the calculation gives -14.224 eV per atom.

=====

No. 3
Below is a crystal of Er2Ga9Ru3 relaxed with PBEsol, with properties calculated at the meta-GGA SCAN level.

```
data_Er2Ga9Ru3
_chemical_formula_sum 'Er8 Ga36 Ru12'
_symmetry_space_group_name_H-M 'C m c m'
_symmetry_Int_Tables_number 63
_symmetry_space_group_name_Hall '-C 2c 2'
_cell_length_a 12.632
_cell_length_b 7.467
_cell_length_c 9.527
_cell_angle_alpha 90.00
_cell_angle_beta 90.00
_cell_angle_gamma 90.00
loop_
_atom_site_label
_atom_site_type_symbol
_atom_site_fract_x
_atom_site_fract_y
_atom_site_fract_z
Er1 Er 0.161 0.162 0.250
Ga1 Ga 0.000 0.133 0.750
Ga2 Ga 0.000 0.337 0.063
Ga3 Ga 0.108 0.449 0.750
Ga4 Ga 0.165 0.175 0.579
Ru1 Ru 0.000 0.000 0.000
Ru2 Ru 0.177 0.500 0.000
```

As for the formation enthalpy at 0 K: -840.8 kJ/mol of formula units. The density of states at the Fermi level is 0.37 states/eV/atom. For the electronic total energy, the calculation gives -25.785 eV per atom.

=====

No. 4
Below is a crystal of Cu2IrPt relaxed with PBEsol, with properties calculated at the meta-GGA SCAN level.

```
data_Cu2IrPt
_chemical_formula_sum 'Cu6 Ir3 Pt3'
_symmetry_space_group_name_H-M 'R -3 m'
_symmetry_Int_Tables_number 166
_symmetry_space_group_name_Hall '-R 3 2"'
_cell_length_a 2.6704
_cell_length_b 2.6704
_cell_length_c 25.5748
_cell_angle_alpha 90.00
_cell_angle_beta 90.00
_cell_angle_gamma 120.00
loop_
_atom_site_label
_atom_site_type_symbol
_atom_site_fract_x
_atom_site_fract_y
_atom_site_fract_z
Cu1 Cu 0.0000 0.0000 0.2492
Ir1 Ir 0.0000 0.0000 0.5000
Pt1 Pt 0.0000 0.0000 0.0000
```

As for the formation enthalpy at 0 K: -16.1 kJ/mol of formula units. The density of states at the Fermi level is 1.11 states/eV/atom. For the electronic total energy, the calculation gives -42.964 eV per atom. The calculation puts the energy relative to the lowest polymorph listed for this composition at 0.0 meV/atom.

=====

Q: Which of these has the lowest electronic total energy?
A: SrTl2Sb

=====

Q: What is the electronic total energy in the third record?
A: -25.785 eV per atom